Compound: PaReHgO6
Source: Alexandria via LeMat-Bulk
Functional: PBE-GGA
Structure: relaxed

Calculated values
total energy = -0.577 Ry per atom

The structure in CIF format:
```
data_PaReHgO6
_space_group_name_H-M_alt 'I m m a'
_space_group_IT_number 74
_space_group_name_Hall '-I 2b 2'
_cell_length_a 7.337
_cell_length_b 8.061
_cell_length_c 11.352
_cell_angle_alpha 90.00
_cell_angle_beta 90.00
_cell_angle_gamma 90.00
loop_
_atom_site_label
_atom_site_type_symbol
_atom_site_fract_x
_atom_site_fract_y
_atom_site_fract_z
Pa1 Pa 0.000 0.000 0.000
Re1 Re 0.250 0.250 0.250
Hg1 Hg 0.000 0.250 0.598
O1 O 0.000 0.250 0.300
O2 O 0.000 0.250 0.943
O3 O 0.192 0.086 0.139
```